Entry from Alexandria: an optimized crystal structure of TlPt2W (PBE).

Structure (POSCAR):
```
TlPt2W
1.0
-3.701 3.701 2.842
3.701 -3.701 2.842
3.701 3.701 -2.842
Tl Pt W
2 4 2
Direct
0.000 0.000 0.000
0.750 0.250 0.500
0.155 0.625 0.030
0.375 0.405 0.530
0.595 0.125 0.970
0.875 0.845 0.470
0.250 0.750 0.500
0.500 0.500 0.000
```

DFT formation energy in eV per atom: 0.50
Energy above the most stable polymorph in this dataset in meV/atom: 542
DOS at the Fermi energy in states/eV/atom: 1.34
E in hartree per atom: -0.2335


Entry from Alexandria: an optimized crystal structure of EuErHgSb (PBE).

Structure (POSCAR):
```
EuErHgSb
1.0
0.000 3.806 3.806
3.806 0.000 3.806
3.806 3.806 0.000
Eu Er Hg Sb
1 1 1 1
Direct
0.000 0.000 0.000
0.500 0.500 0.500
0.250 0.250 0.250
0.750 0.750 0.750
```

Uncorrected formation energy in eV/atom: -0.618
DOS at the Fermi energy in states/eV/atom: 1.07
E in hartree per atom: -0.1997


Entry from Alexandria: an optimized crystal structure of TcMo2Os2 (PBE).

Structure (POSCAR):
```
TcMo2Os2
1.0
7.408 0.000 0.000
0.000 7.408 0.000
0.000 0.000 2.870
Tc Mo Os
2 4 4
Direct
0.000 0.000 0.000
0.500 0.500 0.000
0.168 0.332 0.500
0.332 0.832 0.500
0.668 0.168 0.500
0.832 0.668 0.500
0.131 0.631 0.000
0.369 0.131 0.000
0.631 0.869 0.000
0.869 0.369 0.000
```

DFT formation energy in eV per atom: 0.29
Energy above the most stable polymorph in this dataset in meV/atom: 0
DOS at the Fermi energy in states/eV/atom: 1.39
E in hartree per atom: -0.3898